one:
Density functional theory data (GGA-PBE) for a relaxed CoReIr2 crystal.

Values from the calculation:
Space-group type: P4/mmm
Mass density: 18.9 Mg/m³
DOS at the Fermi energy: 3.65 states/eV/f.u.
Crystal system: tetragonal
Calculated volume: 55.4 Å³/f.u.

abc: 2.730 2.730 7.427
angles: 90.00 90.00 90.00
Atoms (fractional coordinates):
1 Re 0.500 0.500 0.250
2 Ir 0.000 0.000 0.993
3 Ir 0.000 0.000 0.507
4 Co 0.500 0.500 0.750


two:
Density functional theory data (GGA-PBE) for a relaxed CoReIr2 crystal.

Values from the calculation:
Space-group type: I-4m2
Mass density: 19.1 Mg/m³
DOS at the Fermi energy: 4.82 states/eV/f.u.
Crystal system: tetragonal
Calculated volume: 54.8 Å³/f.u.

abc: 4.668 4.668 4.668
angles: 132.13 132.13 70.02
Atoms (fractional coordinates):
1 Co 0.750 0.250 0.500
2 Ir 0.000 0.000 0.000
3 Ir 0.250 0.750 0.500
4 Re 0.500 0.500 0.000


Least stable = two


one:
Density functional theory data (GGA-PBE) for a relaxed CoReIr2 crystal.

Values from the calculation:
Space-group type: I4/mmm
Mass density: 19.0 Mg/m³
DOS at the Fermi energy: 3.85 states/eV/f.u.
Crystal system: tetragonal
Calculated volume: 54.9 Å³/f.u.

abc: 4.632 4.632 4.632
angles: 131.28 131.28 71.36
Atoms (fractional coordinates):
1 Re 0.750 0.250 0.500
2 Ir 0.000 0.000 0.000
3 Ir 0.500 0.500 0.000
4 Co 0.250 0.750 0.500


two:
Density functional theory data (GGA-PBE) for a relaxed CoReIr2 crystal.

Values from the calculation:
Space-group type: I-42d
Mass density: 13.2 Mg/m³
DOS at the Fermi energy: 4.11 states/eV/f.u.
Crystal system: tetragonal
Calculated volume: 79.1 Å³/f.u.

abc: 5.424 5.424 6.607
angles: 65.76 65.76 90.00
Atoms (fractional coordinates):
1 Re 0.000 0.000 0.000
2 Re 0.750 0.250 0.500
3 Ir 0.606 0.125 0.250
4 Ir 0.144 0.625 0.250
5 Ir 0.375 0.394 0.750
6 Ir 0.875 0.856 0.750
7 Co 0.500 0.500 0.000
8 Co 0.250 0.750 0.500


Least stable = two


one:
Density functional theory data (GGA-PBE) for a relaxed CoReIr2 crystal.

Values from the calculation:
Space-group type: Cmmm
Mass density: 19.0 Mg/m³
DOS at the Fermi energy: 3.45 states/eV/f.u.
Crystal system: orthorhombic
Calculated volume: 55.0 Å³/f.u.

abc: 4.644 4.644 2.701
angles: 90.00 90.00 109.23
Atoms (fractional coordinates):
1 Co 0.000 0.500 0.500
2 Ir 0.000 0.000 0.000
3 Ir 0.500 0.500 0.000
4 Re 0.500 0.000 0.500


two:
Density functional theory data (GGA-PBE) for a relaxed CoReIr2 crystal.

Values from the calculation:
Space-group type: R3m
Mass density: 18.7 Mg/m³
DOS at the Fermi energy: 4.38 states/eV/f.u.
Crystal system: trigonal
Calculated volume: 55.8 Å³/f.u.

abc: 8.839 8.839 8.839
angles: 17.71 17.71 17.71
Atoms (fractional coordinates):
1 Co 0.750 0.750 0.750
2 Ir 0.004 0.004 0.004
3 Ir 0.248 0.248 0.248
4 Re 0.498 0.498 0.498


Least stable = two


one:
Density functional theory data (GGA-PBE) for a relaxed CoReIr2 crystal.

Values from the calculation:
Space-group type: R-3m
Mass density: 18.7 Mg/m³
DOS at the Fermi energy: 4.95 states/eV/f.u.
Crystal system: trigonal
Calculated volume: 55.8 Å³/f.u.

abc: 8.756 8.756 8.756
angles: 17.97 17.97 17.97
Atoms (fractional coordinates):
1 Co 0.750 0.750 0.750
2 Ir 0.002 0.002 0.002
3 Ir 0.498 0.498 0.498
4 Re 0.250 0.250 0.250


two:
Density functional theory data (GGA-PBE) for a relaxed CoReIr2 crystal.

Values from the calculation:
Space-group type: Pnma
Mass density: 19.0 Mg/m³
DOS at the Fermi energy: 4.30 states/eV/f.u.
Crystal system: orthorhombic
Calculated volume: 55.1 Å³/f.u.

abc: 4.678 5.387 8.753
angles: 90.00 90.00 90.00
Atoms (fractional coordinates):
1 Co 0.914 0.130 0.250
2 Co 0.586 0.630 0.750
3 Co 0.086 0.870 0.750
4 Co 0.414 0.370 0.250
5 Re 0.419 0.878 0.250
6 Re 0.081 0.378 0.750
7 Re 0.581 0.122 0.750
8 Re 0.919 0.622 0.250
9 Ir 0.753 0.375 0.999
10 Ir 0.747 0.875 0.001
11 Ir 0.247 0.625 0.499
12 Ir 0.253 0.125 0.501
13 Ir 0.247 0.625 0.001
14 Ir 0.253 0.125 0.999
15 Ir 0.753 0.375 0.501
16 Ir 0.747 0.875 0.499


Least stable = one


one:
Density functional theory data (GGA-PBE) for a relaxed CoRe2Ir crystal.

Values from the calculation:
Space-group type: Cmmm
Mass density: 18.7 Mg/m³
DOS at the Fermi energy: 4.23 states/eV/f.u.
Crystal system: orthorhombic
Calculated volume: 55.3 Å³/f.u.

abc: 4.703 5.944 2.681
angles: 63.26 89.96 120.24
Atoms (fractional coordinates):
1 Co 0.500 0.500 0.000
2 Ir 0.500 0.000 0.500
3 Re 0.000 0.000 0.000
4 Re 0.000 0.500 0.500


two:
Density functional theory data (GGA-PBE) for a relaxed CoRe2Ir crystal.

Values from the calculation:
Space-group type: R-3m
Mass density: 18.6 Mg/m³
DOS at the Fermi energy: 4.07 states/eV/f.u.
Crystal system: trigonal
Calculated volume: 55.6 Å³/f.u.

abc: 8.786 8.786 8.786
angles: 17.84 17.84 17.84
Atoms (fractional coordinates):
1 Co 0.250 0.250 0.250
2 Ir 0.750 0.750 0.750
3 Re 0.997 0.997 0.997
4 Re 0.503 0.503 0.503


three:
Density functional theory data (GGA-PBE) for a relaxed CoRe2Ir crystal.

Values from the calculation:
Space-group type: Imm2
Mass density: 18.5 Mg/m³
DOS at the Fermi energy: 4.41 states/eV/f.u.
Crystal system: orthorhombic
Calculated volume: 56.0 Å³/f.u.

abc: 5.317 5.317 5.317
angles: 150.32 130.73 58.58
Atoms (fractional coordinates):
1 Co 0.500 0.500 0.000
2 Ir 0.724 0.224 0.500
3 Re 0.994 0.994 0.000
4 Re 0.282 0.782 0.500


four:
Density functional theory data (GGA-PBE) for a relaxed CoRe2Ir crystal.

Values from the calculation:
Space-group type: R3m
Mass density: 18.4 Mg/m³
DOS at the Fermi energy: 4.64 states/eV/f.u.
Crystal system: trigonal
Calculated volume: 56.2 Å³/f.u.

abc: 8.828 8.828 8.828
angles: 17.81 17.81 17.81
Atoms (fractional coordinates):
1 Co 0.500 0.500 0.500
2 Ir 0.752 0.752 0.752
3 Re 0.001 0.001 0.001
4 Re 0.247 0.247 0.247


Least stable = three


one:
Density functional theory data (GGA-PBE) for a relaxed Co3ReIr crystal.

Values from the calculation:
Space-group type: Pm-3m
Mass density: 10.5 Mg/m³
DOS at the Fermi energy: 7.22 states/eV/f.u.
Crystal system: cubic
Calculated volume: 87.7 Å³/f.u.

abc: 4.443 4.443 4.443
angles: 90.00 90.00 90.00
Atoms (fractional coordinates):
1 Re 0.500 0.500 0.500
2 Ir 0.000 0.000 0.000
3 Co 0.000 0.500 0.000
4 Co 0.000 0.000 0.500
5 Co 0.500 0.000 0.000


two:
Density functional theory data (GGA-PBE) for a relaxed Co3ReIr crystal.

Values from the calculation:
Space-group type: Pm-3m
Mass density: 11.2 Mg/m³
DOS at the Fermi energy: 9.08 states/eV/f.u.
Crystal system: cubic
Calculated volume: 82.3 Å³/f.u.

abc: 4.351 4.351 4.351
angles: 90.00 90.00 90.00
Atoms (fractional coordinates):
1 Re 0.000 0.000 0.000
2 Ir 0.500 0.500 0.500
3 Co 0.000 0.500 0.000
4 Co 0.000 0.000 0.500
5 Co 0.500 0.000 0.000


Least stable = one


one:
Density functional theory data (GGA-PBE) for a relaxed CoRe2Ir2 crystal.

Values from the calculation:
Space-group type: P4/mbm
Mass density: 17.6 Mg/m³
DOS at the Fermi energy: 4.58 states/eV/f.u.
Crystal system: tetragonal
Calculated volume: 77.1 Å³/f.u.

abc: 7.537 7.537 2.716
angles: 90.00 90.00 90.00
Atoms (fractional coordinates):
1 Re 0.171 0.671 0.500
2 Re 0.671 0.829 0.500
3 Re 0.829 0.329 0.500
4 Re 0.329 0.171 0.500
5 Ir 0.375 0.875 0.000
6 Ir 0.875 0.625 0.000
7 Ir 0.625 0.125 0.000
8 Ir 0.125 0.375 0.000
9 Co 0.000 0.000 0.000
10 Co 0.500 0.500 0.000


two:
Density functional theory data (GGA-PBE) for a relaxed CoRe2Ir2 crystal.

Values from the calculation:
Space-group type: I4/mmm
Mass density: 16.6 Mg/m³
DOS at the Fermi energy: 4.18 states/eV/f.u.
Crystal system: tetragonal
Calculated volume: 81.4 Å³/f.u.

abc: 3.585 3.585 6.826
angles: 74.78 74.78 90.00
Atoms (fractional coordinates):
1 Re 0.750 0.250 0.500
2 Re 0.250 0.750 0.500
3 Ir 0.403 0.403 0.195
4 Ir 0.597 0.597 0.805
5 Co 0.000 0.000 0.000


Least stable = two


one:
Density functional theory data (GGA-PBE) for a relaxed CoIr3Rh6 crystal.

Values from the calculation:
Space-group type: P-31m
Mass density: 14.3 Mg/m³
DOS at the Fermi energy: 14.65 states/eV/f.u.
Crystal system: trigonal
Calculated volume: 145.8 Å³/f.u.

abc: 4.927 4.927 6.935
angles: 90.00 90.00 120.00
Atoms (fractional coordinates):
1 Co 0.000 0.000 0.000
2 Ir 0.000 0.000 0.500
3 Ir 0.667 0.333 0.500
4 Ir 0.333 0.667 0.500
5 Rh 0.611 0.611 0.811
6 Rh 0.000 0.389 0.811
7 Rh 0.389 0.000 0.811
8 Rh 0.000 0.611 0.189
9 Rh 0.389 0.389 0.189
10 Rh 0.611 0.000 0.189


two:
Density functional theory data (GGA-PBE) for a relaxed CoIr3Rh6 crystal.

Values from the calculation:
Space-group type: P2_1/m
Mass density: 14.8 Mg/m³
DOS at the Fermi energy: 15.24 states/eV/f.u.
Crystal system: monoclinic
Calculated volume: 140.8 Å³/f.u.

abc: 4.397 7.197 9.821
angles: 114.99 90.00 90.00
Atoms (fractional coordinates):
1 Co 0.250 0.967 0.565
2 Co 0.750 0.033 0.435
3 Ir 0.250 0.573 0.370
4 Ir 0.750 0.427 0.630
5 Ir 0.250 0.365 0.763
6 Ir 0.750 0.635 0.237
7 Ir 0.250 0.768 0.966
8 Ir 0.750 0.232 0.034
9 Rh 0.250 0.469 0.067
10 Rh 0.750 0.531 0.933
11 Rh 0.250 0.164 0.167
12 Rh 0.750 0.836 0.833
13 Rh 0.250 0.667 0.665
14 Rh 0.750 0.333 0.335
15 Rh 0.250 0.261 0.468
16 Rh 0.750 0.739 0.532
17 Rh 0.250 0.868 0.274
18 Rh 0.750 0.132 0.726
19 Rh 0.250 0.067 0.862
20 Rh 0.750 0.933 0.138


Least stable = one


one:
Density functional theory data (GGA-PBE) for a relaxed Co2IrRh4 crystal.

Values from the calculation:
Space-group type: I4/mmm
Mass density: 11.7 Mg/m³
DOS at the Fermi energy: 14.28 states/eV/f.u.
Crystal system: tetragonal
Calculated volume: 102.5 Å³/f.u.

abc: 7.380 5.245 5.245
angles: 60.33 45.29 45.29
Atoms (fractional coordinates):
1 Co 0.000 0.500 0.500
2 Co 0.500 0.500 0.500
3 Ir 0.000 0.000 0.000
4 Rh 0.500 0.500 0.000
5 Rh 0.000 0.000 0.500
6 Rh 0.500 0.000 0.500
7 Rh 0.000 0.500 0.000


two:
Density functional theory data (GGA-PBE) for a relaxed Co2IrRh4 crystal.

Values from the calculation:
Space-group type: Cmcm
Mass density: 12.2 Mg/m³
DOS at the Fermi energy: 13.07 states/eV/f.u.
Crystal system: orthorhombic
Calculated volume: 98.6 Å³/f.u.

abc: 4.371 4.238 12.427
angles: 90.00 90.00 121.04
Atoms (fractional coordinates):
1 Rh 0.192 0.384 0.644
2 Rh 0.808 0.616 0.356
3 Rh 0.808 0.616 0.144
4 Rh 0.192 0.384 0.856
5 Rh 0.859 0.718 0.750
6 Rh 0.141 0.282 0.250
7 Rh 0.500 0.000 0.000
8 Rh 0.500 0.000 0.500
9 Ir 0.479 0.959 0.250
10 Ir 0.521 0.041 0.750
11 Co 0.846 0.692 0.949
12 Co 0.154 0.308 0.051
13 Co 0.846 0.692 0.551
14 Co 0.154 0.308 0.449


Least stable = two


one:
Density functional theory data (GGA-PBE) for a relaxed Co2IrRh crystal.

Values from the calculation:
Space-group type: I-4m2
Mass density: 13.5 Mg/m³
DOS at the Fermi energy: 5.98 states/eV/f.u.
Crystal system: tetragonal
Calculated volume: 50.7 Å³/f.u.

abc: 4.557 4.557 4.557
angles: 132.38 132.38 69.63
Atoms (fractional coordinates):
1 Co 0.000 0.000 0.000
2 Co 0.250 0.750 0.500
3 Ir 0.500 0.500 0.000
4 Rh 0.750 0.250 0.500


two:
Density functional theory data (GGA-PBE) for a relaxed Co2IrRh crystal.

Values from the calculation:
Space-group type: Imm2
Mass density: 13.3 Mg/m³
DOS at the Fermi energy: 7.49 states/eV/f.u.
Crystal system: orthorhombic
Calculated volume: 51.7 Å³/f.u.

abc: 5.053 5.053 5.053
angles: 148.56 129.17 61.00
Atoms (fractional coordinates):
1 Co 0.983 0.983 0.000
2 Co 0.764 0.264 0.500
3 Ir 0.515 0.515 0.000
4 Rh 0.238 0.738 0.500


Least stable = two


one:
Density functional theory data (GGA-PBE) for a relaxed Co3Ir3Rh crystal.

Values from the calculation:
Space-group type: P2_13
Mass density: 14.9 Mg/m³
DOS at the Fermi energy: 8.92 states/eV/f.u.
Crystal system: cubic
Calculated volume: 95.5 Å³/f.u.

abc: 7.255 7.255 7.255
angles: 90.00 90.00 90.00
Atoms (fractional coordinates):
1 Co 0.831 0.331 0.169
2 Co 0.845 0.845 0.845
3 Co 0.854 0.646 0.354
4 Co 0.169 0.831 0.331
5 Co 0.146 0.146 0.146
6 Co 0.354 0.854 0.646
7 Co 0.155 0.345 0.655
8 Co 0.331 0.169 0.831
9 Co 0.646 0.354 0.854
10 Co 0.669 0.669 0.669
11 Co 0.655 0.155 0.345
12 Co 0.345 0.655 0.155
13 Ir 0.672 0.634 0.059
14 Ir 0.866 0.941 0.172
15 Ir 0.059 0.672 0.634
16 Ir 0.134 0.441 0.328
17 Ir 0.328 0.134 0.441
18 Ir 0.172 0.866 0.941
19 Ir 0.941 0.172 0.866
20 Ir 0.366 0.559 0.828
21 Ir 0.441 0.328 0.134
22 Ir 0.634 0.059 0.672
23 Ir 0.828 0.366 0.559
24 Ir 0.559 0.828 0.366
25 Rh 0.027 0.527 0.973
26 Rh 0.973 0.027 0.527
27 Rh 0.473 0.473 0.473
28 Rh 0.527 0.973 0.027


two:
Density functional theory data (GGA-PBE) for a relaxed Co3Ir3Rh crystal.

Values from the calculation:
Space-group type: P6_3/m
Mass density: 15.5 Mg/m³
DOS at the Fermi energy: 10.20 states/eV/f.u.
Crystal system: hexagonal
Calculated volume: 91.7 Å³/f.u.

abc: 4.285 7.029 7.029
angles: 120.00 90.00 90.00
Atoms (fractional coordinates):
1 Co 0.750 0.480 0.098
2 Co 0.750 0.617 0.520
3 Co 0.250 0.098 0.617
4 Co 0.750 0.902 0.383
5 Co 0.250 0.383 0.480
6 Co 0.250 0.520 0.902
7 Ir 0.750 0.202 0.245
8 Ir 0.750 0.043 0.798
9 Ir 0.250 0.245 0.043
10 Ir 0.750 0.755 0.957
11 Ir 0.250 0.957 0.202
12 Ir 0.250 0.798 0.755
13 Rh 0.250 0.667 0.333
14 Rh 0.750 0.333 0.667


Least stable = one